This record from Alexandria describes a geometry-optimized Mg2InAgCl6 structure. The functional is PBE.

Cell and atoms, written as CIF:
```
data_Mg2InAgCl6
_chemical_formula_sum 'Mg8 In4 Ag4 Cl24'
_cell_length_a 13.619
_cell_length_b 13.536
_cell_length_c 7.430
_cell_angle_alpha 90.00
_cell_angle_beta 109.80
_cell_angle_gamma 90.00
_space_group_name_H-M_alt 'C 1 2/c 1'
_space_group_IT_number 15
loop_
_space_group_symop_operation_xyz
'x,y,z'
'-x,-y,-z'
'-x,y,-z+1/2'
'x,-y,z+1/2'
'x+1/2,y+1/2,z'
'-x+1/2,-y+1/2,-z'
'-x+1/2,y+1/2,-z+1/2'
'x+1/2,-y+1/2,z+1/2'
loop_
_atom_site_label
_atom_site_fract_x
_atom_site_fract_y
_atom_site_fract_z
Mg1 0.190 0.075 0.199
In1 0.000 0.390 0.250
Ag1 0.000 0.261 0.750
Cl1 0.125 0.232 0.078
Cl2 0.126 0.423 0.688
Cl3 0.131 0.051 0.465
```

Values from the calculation:
ρ	2.5	g/cm3
DOS(E_F)	0.000	states/eV/atom
formation energy (no corrections)	-1.32	eV/atom